i.
Here is a geometry-optimized Ba3MgRu2O9 structure from Alexandria via LeMat-Bulk. Energies are from GGA-PBE.

POSCAR file:
```
Ba3MgRu2O9
1.0
-4.8446 -2.6837 -1.8960
1.5221 -0.3491 5.6416
-7.5183 11.6306 2.7480
Ba Mg Ru O
6 2 4 18
direct
0.3333 0.6667 0.4114 Ba
0.6667 0.3333 0.9114 Ba
0.6667 0.3333 0.5886 Ba
0.3333 0.6667 0.0886 Ba
0.0000 0.0000 0.7500 Ba
0.0000 0.0000 0.2500 Ba
0.0000 0.0000 0.0000 Mg
0.0000 0.0000 0.5000 Mg
0.6667 0.3333 0.3391 Ru
0.3333 0.6667 0.8391 Ru
0.6667 0.3333 0.1609 Ru
0.3333 0.6667 0.6609 Ru
0.8271 0.6541 0.4148 O
0.3459 0.1729 0.4148 O
0.8271 0.1729 0.4148 O
0.1729 0.8271 0.9148 O
0.1729 0.8271 0.5852 O
0.1729 0.3459 0.9148 O
0.6541 0.8271 0.9148 O
0.3459 0.1729 0.0852 O
0.8271 0.6541 0.0852 O
0.1729 0.3459 0.5852 O
0.6541 0.8271 0.5852 O
0.8271 0.1729 0.0852 O
0.5076 0.4924 0.2500 O
0.0152 0.5076 0.7500 O
0.4924 0.9848 0.7500 O
0.5076 0.0152 0.2500 O
0.9848 0.4924 0.2500 O
0.4924 0.5076 0.7500 O
```

Properties
The calculation puts the density of states at the Fermi level at 3.12 states/eV/cell. As for the density: 6.2 Mg/m³.

---

ii.
Here is a geometry-optimized Ba3MgRu2O9 structure from Alexandria via LeMat-Bulk. Energies are from GGA-PBE.

POSCAR file:
```
Ba3MgRu2O9
1.0
-5.5415 1.6147 0.0080
1.3726 -5.6061 0.0558
0.0331 0.0786 7.0787
Ba Mg Ru O
3 1 2 9
direct
0.3333 0.6667 0.6673 Ba
0.0000 0.0000 0.0000 Ba
0.6667 0.3333 0.3327 Ba
0.0000 0.0000 0.5000 Mg
0.3333 0.6667 0.1724 Ru
0.6667 0.3333 0.8276 Ru
0.8274 0.1726 0.6746 O
0.8274 0.6547 0.6746 O
0.3453 0.1726 0.6746 O
0.6547 0.8274 0.3254 O
0.1726 0.3453 0.3254 O
0.1726 0.8274 0.3254 O
0.5000 0.0000 0.0000 O
0.0000 0.5000 0.0000 O
0.5000 0.5000 0.0000 O
```

Properties
The calculation puts the density of states at the Fermi level at 8.93 states/eV/cell. As for the density: 6.4 Mg/m³.

---

Going by the energies, i is most stable and the next is 23 meV/atom up.

---

i.
Here is a geometry-optimized BaMg6SiO8 structure from Alexandria via LeMat-Bulk. Energies are from GGA-PBE.

POSCAR file:
```
BaMg6SiO8
1.0
4.6790 0.0000 0.0000
0.0000 4.6790 0.0000
0.0000 0.0000 9.0047
Ba Mg Si O
1 6 1 8
direct
0.5000 0.5000 0.0000 Ba
0.0000 0.0000 0.5000 Mg
0.5000 0.5000 0.5000 Mg
0.0000 0.5000 0.2724 Mg
0.0000 0.5000 0.7276 Mg
0.5000 0.0000 0.2724 Mg
0.5000 0.0000 0.7276 Mg
0.0000 0.0000 0.0000 Si
0.0000 0.0000 0.2674 O
0.0000 0.0000 0.7326 O
0.5000 0.5000 0.2836 O
0.5000 0.5000 0.7164 O
0.0000 0.5000 0.0000 O
0.0000 0.5000 0.5000 O
0.5000 0.0000 0.0000 O
0.5000 0.0000 0.5000 O
```

Properties
As for the density: 3.7 Mg/m³.

---

ii.
Here is a geometry-optimized BaMg6SiO8 structure from Alexandria via LeMat-Bulk. Energies are from GGA-PBE.

POSCAR file:
```
BaMg6SiO8
1.0
-4.4475 -0.6378 -1.6763
0.1958 -4.6279 1.2414
-3.2075 1.9482 7.7688
Ba Mg Si O
1 6 1 8
direct
0.0000 0.0000 0.5000 Ba
0.5000 0.5000 0.0000 Mg
0.5000 0.5000 0.5000 Mg
0.0000 0.5000 0.2350 Mg
0.0000 0.5000 0.7650 Mg
0.5000 0.0000 0.2350 Mg
0.5000 0.0000 0.7650 Mg
0.0000 0.0000 0.0000 Si
0.0000 0.0000 0.2106 O
0.0000 0.0000 0.7894 O
0.5000 0.5000 0.2484 O
0.5000 0.5000 0.7516 O
0.0000 0.5000 0.0000 O
0.0000 0.5000 0.5000 O
0.5000 0.0000 0.0000 O
0.5000 0.0000 0.5000 O
```

Properties
The calculation puts the density of states at the Fermi level at 1.67 states/eV/cell. As for the density: 3.7 Mg/m³.

---

Going by the energies, i is most stable and the next is 22 meV/atom up.

---

i.
Here is a geometry-optimized BaMg6TiO8 structure from Alexandria via LeMat-Bulk. Energies are from GGA-PBE.

POSCAR file:
```
BaMg6TiO8
1.0
4.7066 0.0000 0.0000
0.0000 4.7066 0.0000
0.0000 0.0000 8.8940
Ba Mg Ti O
1 6 1 8
direct
0.0000 0.0000 0.5000 Ba
0.5000 0.5000 0.0000 Mg
0.5000 0.5000 0.5000 Mg
0.0000 0.5000 0.2369 Mg
0.0000 0.5000 0.7631 Mg
0.5000 0.0000 0.2369 Mg
0.5000 0.0000 0.7631 Mg
0.0000 0.0000 0.0000 Ti
0.0000 0.0000 0.2184 O
0.0000 0.0000 0.7816 O
0.5000 0.5000 0.2466 O
0.5000 0.5000 0.7534 O
0.0000 0.5000 0.0000 O
0.0000 0.5000 0.5000 O
0.5000 0.0000 0.0000 O
0.5000 0.0000 0.5000 O
```

Properties
The calculation puts the density of states at the Fermi level at 3.75 states/eV/cell. As for the density: 3.9 Mg/m³.

---

ii.
Here is a geometry-optimized BaMg6TiO8 structure from Alexandria via LeMat-Bulk. Energies are from GGA-PBE.

POSCAR file:
```
BaMg6TiO8
1.0
-3.6472 -2.8247 0.5570
1.8939 -1.6769 3.8977
-4.1597 6.3044 4.7335
Ba Mg Ti O
1 6 1 8
direct
0.5000 0.5000 0.0000 Ba
0.0000 0.0000 0.5000 Mg
0.5000 0.5000 0.5000 Mg
0.0000 0.5000 0.2688 Mg
0.0000 0.5000 0.7312 Mg
0.5000 0.0000 0.2688 Mg
0.5000 0.0000 0.7312 Mg
0.0000 0.0000 0.0000 Ti
0.0000 0.0000 0.2574 O
0.0000 0.0000 0.7426 O
0.5000 0.5000 0.2832 O
0.5000 0.5000 0.7168 O
0.0000 0.5000 0.0000 O
0.0000 0.5000 0.5000 O
0.5000 0.0000 0.0000 O
0.5000 0.0000 0.5000 O
```

Properties
The calculation puts the density of states at the Fermi level at 3.46 states/eV/cell. As for the density: 4.0 Mg/m³.

---

Going by the energies, ii is most stable and the next is 19 meV/atom up.